Compound: Tb2MnSe2O2
Source: Alexandria via LeMat-Bulk
Functional: PBE with a Hubbard U
Structure: optimized geometry

Summary:
volume = 18.68 A^3/atom
DOS at the Fermi energy = 0.0 states/eV per cell
total energy = -50.04 eV for the cell shown

a = 6.0632 Å, b = 6.0632 Å, c = 7.0252 Å
α = 120.13°, β = 120.13°, γ = 36.62°
Closest atoms and distances in Å follow each position.
Element x y z (fractional)
Tb 0.1908 0.1908 0.2500  3 O 2.23-2.28
Tb 0.8092 0.8092 0.7500  3 O 2.23-2.28
Mn 0.0000 0.0000 0.5000  2 O 2.08
Se 0.4334 0.4334 0.1670  2 Mn 2.79
Se 0.5666 0.5666 0.8330  2 Mn 2.79
O 0.2024 0.2024 0.5839  1 Mn 2.08, 3 Tb 2.23-2.28
O 0.7976 0.7976 0.4161  1 Mn 2.08, 3 Tb 2.23-2.28